Entry from Alexandria: a geometry-optimized Na2GeSb2 structure (GGA-PBE).

```
Na2GeSb2
1.0
9.190 0.000 0.000
0.000 9.190 0.000
0.000 0.000 3.114
Na Ge Sb
4 2 4
direct
0.115 0.385 0.000
0.385 0.885 0.000
0.615 0.115 0.000
0.885 0.615 0.000
0.000 0.000 0.000
0.500 0.500 0.000
0.185 0.685 0.500
0.315 0.185 0.500
0.685 0.815 0.500
0.815 0.315 0.500
```

Summary:
Polymorph energy (0 for the lowest one)   252 meV per atom
ΔE_f (raw)   0.36 eV/f.u.
Volume   26.299 Å³/atom

=====

Entry from Alexandria: a geometry-optimized NaGeSb3 structure (GGA-PBE).

```
NaGeSb3
1.0
5.360 0.000 0.000
0.000 5.360 0.000
0.000 0.000 5.360
Na Ge Sb
1 1 3
direct
0.000 0.000 0.000
0.500 0.500 0.500
0.000 0.000 0.500
0.000 0.500 0.000
0.500 0.000 0.000
```

Summary:
Polymorph energy (0 for the lowest one)   883 meV per atom
ΔE_f (raw)   4.65 eV/f.u.
Volume   30.792 Å³/atom

=====

Entry from Alexandria: a geometry-optimized NaGe2Sb3 structure (GGA-PBE).

```
NaGe2Sb3
1.0
11.322 -2.145 0.000
11.322 2.145 0.000
-0.063 0.000 7.144
Na Ge Sb
2 4 6
direct
0.145 0.145 0.495
0.855 0.855 0.505
0.194 0.194 0.060
0.449 0.449 0.693
0.551 0.551 0.307
0.806 0.806 0.940
0.073 0.073 0.049
0.263 0.263 0.744
0.433 0.433 0.282
0.567 0.567 0.718
0.737 0.737 0.256
0.927 0.927 0.951
```

Summary:
ΔE_f (raw)   0.09 eV/f.u.
Volume   28.922 Å³/atom

=====

Entry from Alexandria: a geometry-optimized Na8GeSb2 structure (GGA-PBE).

```
Na8GeSb2
1.0
7.869 -2.631 0.000
7.869 2.631 0.000
-4.958 0.000 7.321
Na Ge Sb
8 1 2
direct
0.001 0.001 0.308
0.137 0.137 0.136
0.345 0.345 0.554
0.346 0.346 0.136
0.654 0.654 0.864
0.655 0.655 0.446
0.863 0.863 0.864
0.999 0.999 0.692
0.500 0.500 0.000
0.206 0.206 0.707
0.794 0.794 0.293
```

Summary:
ΔE_f (raw)   -2.85 eV/f.u.
Volume   27.552 Å³/atom

=====

Entry from Alexandria: a geometry-optimized Na4Ge2Sb5 structure (GGA-PBE).

```
Na4Ge2Sb5
1.0
8.321 0.000 0.000
0.000 3.265 0.000
-0.154 0.000 10.371
Na Ge Sb
4 2 5
direct
0.152 0.000 0.402
0.305 0.000 0.932
0.695 0.000 0.068
0.848 0.000 0.598
0.054 0.500 0.123
0.946 0.500 0.877
0.184 0.500 0.682
0.381 0.500 0.205
0.500 0.500 0.500
0.619 0.500 0.795
0.816 0.500 0.318
```

Summary:
ΔE_f (raw)   -1.54 eV/f.u.
Volume   25.612 Å³/atom

=====

Entry from Alexandria: a geometry-optimized NaGe2Sb2 structure (GGA-PBE).

```
NaGe2Sb2
1.0
-2.371 2.371 6.700
2.371 -2.371 6.700
2.371 2.371 -6.700
Na Ge Sb
1 2 2
direct
0.000 0.000 0.000
0.250 0.750 0.500
0.750 0.250 0.500
0.370 0.370 0.000
0.630 0.630 0.000
```

Summary:
ΔE_f (raw)   0.31 eV/f.u.
Volume   30.123 Å³/atom

=====

no.,energy (eV per atom)
1,-3.03
2,-2.73
3,-3.81
4,-2.39
5,-3.33
6,-3.70